1.
Material: Pr2YPt
Method: DFT, PBE
State: relaxed

spin magnetization: 0.0 μB/cell
polymorph energy (0 for the lowest one): 138 meV/atom
ΔE_f: -0.4938 eV/atom
SG: Pnna

abc: 6.808 6.626 11.669
angles: 90.00 90.00 90.00
Positions (direct):
Pr 0.086 0.236 0.087
Pr 0.086 0.264 0.413
Pr 0.414 0.736 0.413
Pr 0.414 0.764 0.087
Pr 0.586 0.236 0.913
Pr 0.586 0.264 0.587
Pr 0.914 0.736 0.587
Pr 0.914 0.764 0.913
Y 0.059 0.250 0.750
Y 0.441 0.750 0.750
Y 0.559 0.250 0.250
Y 0.941 0.750 0.250
Pt 0.250 0.000 0.594
Pt 0.250 0.500 0.906
Pt 0.750 0.000 0.406
Pt 0.750 0.500 0.094

=====

2.
Material: PrY3Pt
Method: DFT, PBE
State: relaxed

spin magnetization: 0.0 μB/cell
polymorph energy (0 for the lowest one): 0 meV/atom
ΔE_f: -0.4020 eV/atom
SG: P6_3/mmc

abc: 7.654 7.654 6.167
angles: 90.00 90.00 120.00
Positions (direct):
Pr 0.333 0.667 0.250
Pr 0.667 0.333 0.750
Y 0.179 0.358 0.750
Y 0.179 0.821 0.750
Y 0.358 0.179 0.250
Y 0.642 0.821 0.750
Y 0.821 0.179 0.250
Y 0.821 0.642 0.250
Pt 0.000 0.000 0.000
Pt 0.000 0.000 0.500

=====

3.
Material: Pr2YPt
Method: DFT, PBE
State: relaxed

spin magnetization: 0.0 μB/cell
polymorph energy (0 for the lowest one): 177 meV/atom
ΔE_f: -0.4541 eV/atom
SG: P4/mmm

abc: 3.725 3.725 8.560
angles: 90.00 90.00 90.00
Positions (direct):
Pr 0.000 0.000 0.198
Pr 0.000 0.000 0.802
Y 0.500 0.500 0.500
Pt 0.500 0.500 0.000

=====

4.
Material: Pr2YPt
Method: DFT, PBE
State: relaxed

spin magnetization: 0.0 μB/cell
polymorph energy (0 for the lowest one): 412 meV/atom
ΔE_f: -0.2195 eV/atom
SG: R-3m

abc: 10.999 10.999 10.999
angles: 19.99 19.99 19.99
Positions (direct):
Pr 0.108 0.108 0.108
Pr 0.892 0.892 0.892
Y 0.000 0.000 0.000
Pt 0.500 0.500 0.500

=====

5.
Material: PrY2Pt9
Method: DFT, PBE
State: relaxed

spin magnetization: 0.0 μB/cell
ΔE_f: -0.9482 eV/atom
SG: R-3m

abc: 9.390 9.390 9.390
angles: 33.72 33.72 33.72
Positions (direct):
Pr 0.000 0.000 0.000
Y 0.140 0.140 0.140
Y 0.860 0.860 0.860
Pt 0.081 0.588 0.588
Pt 0.333 0.333 0.333
Pt 0.412 0.412 0.919
Pt 0.412 0.919 0.412
Pt 0.500 0.500 0.500
Pt 0.588 0.081 0.588
Pt 0.588 0.588 0.081
Pt 0.667 0.667 0.667
Pt 0.919 0.412 0.412

=====

6.
Material: Pr3YPt
Method: DFT, PBE
State: relaxed

spin magnetization: 0.0 μB/cell
ΔE_f: -0.4107 eV/atom
SG: P2_1/m

abc: 6.648 5.201 9.093
angles: 90.00 96.56 90.00
Positions (direct):
Pr 0.110 0.250 0.290
Pr 0.275 0.750 0.054
Pr 0.320 0.750 0.482
Pr 0.680 0.250 0.518
Pr 0.725 0.250 0.946
Pr 0.890 0.750 0.710
Y 0.244 0.250 0.750
Y 0.756 0.750 0.250
Pt 0.470 0.750 0.793
Pt 0.530 0.250 0.207

=====

7.
Material: PrYZnPt
Method: DFT, PBE
State: relaxed

spin magnetization: 0.0 μB/cell
polymorph energy (0 for the lowest one): 50 meV/atom
ΔE_f: -0.6994 eV/atom
SG: F-43m

abc: 5.099 5.099 5.099
angles: 60.00 60.00 60.00
Positions (direct):
Pr 0.000 0.000 0.000
Y 0.500 0.500 0.500
Zn 0.750 0.750 0.750
Pt 0.250 0.250 0.250

=====

8.
Material: PrYZnPt
Method: DFT, PBE
State: relaxed

spin magnetization: 0.0 μB/cell
polymorph energy (0 for the lowest one): 0 meV/atom
ΔE_f: -0.7491 eV/atom
SG: Amm2

abc: 4.480 5.841 5.841
angles: 39.47 90.00 90.00
Positions (direct):
Pr 0.000 0.000 0.000
Y 0.500 0.718 0.718
Zn 0.500 0.429 0.429
Pt 0.000 0.282 0.282

=====

9.
Material: PrZn4Pt
Method: DFT, PBE
State: relaxed

spin magnetization: 0.0 μB/cell
polymorph energy (0 for the lowest one): 0 meV/atom
ΔE_f: -0.3434 eV/atom
SG: Cmcm

abc: 7.381 7.381 6.841
angles: 90.00 90.00 141.80
Positions (direct):
Pr 0.111 0.889 0.750
Pr 0.889 0.111 0.250
Zn 0.103 0.897 0.250
Zn 0.277 0.723 0.073
Zn 0.277 0.723 0.427
Zn 0.500 0.500 0.000
Zn 0.500 0.500 0.500
Zn 0.723 0.277 0.573
Zn 0.723 0.277 0.927
Zn 0.897 0.103 0.750
Pt 0.364 0.636 0.750
Pt 0.636 0.364 0.250

=====

10.
Material: PrZn5Pt2
Method: DFT, PBE
State: relaxed

spin magnetization: 0.0 μB/cell
ΔE_f: -0.5289 eV/atom
SG: Immm

abc: 6.494 6.494 6.494
angles: 144.27 109.41 81.72
Positions (direct):
Pr 0.000 0.000 0.000
Zn 0.170 0.354 0.816
Zn 0.462 0.646 0.816
Zn 0.500 0.000 0.500
Zn 0.538 0.354 0.184
Zn 0.830 0.646 0.184
Pt 0.242 0.742 0.500
Pt 0.758 0.258 0.500

=====

11.
Material: Pr3ZnPt
Method: DFT, PBE
State: relaxed

spin magnetization: 0.0 μB/cell
polymorph energy (0 for the lowest one): 0 meV/atom
ΔE_f: -0.5163 eV/atom
SG: P2_1/c

abc: 9.470 7.628 8.425
angles: 90.00 108.38 90.00
Positions (direct):
Pr 0.070 0.004 0.211
Pr 0.070 0.496 0.711
Pr 0.307 0.155 0.611
Pr 0.307 0.345 0.111
Pr 0.354 0.681 0.492
Pr 0.354 0.819 0.992
Pr 0.646 0.181 0.008
Pr 0.646 0.319 0.508
Pr 0.693 0.655 0.889
Pr 0.693 0.845 0.389
Pr 0.930 0.504 0.289
Pr 0.930 0.996 0.789
Zn 0.064 0.657 0.039
Zn 0.064 0.843 0.539
Zn 0.936 0.157 0.461
Zn 0.936 0.343 0.961
Pt 0.408 0.033 0.317
Pt 0.408 0.467 0.817
Pt 0.592 0.533 0.183
Pt 0.592 0.967 0.683

=====

12.
Material: Pr2Zn2Pt
Method: DFT, PBE
State: relaxed

spin magnetization: 0.0 μB/cell
ΔE_f: -0.6215 eV/atom
SG: C2/m

abc: 5.699 5.699 10.940
angles: 112.27 112.27 46.45
Positions (direct):
Pr 0.015 0.015 0.338
Pr 0.197 0.197 0.119
Pr 0.803 0.803 0.881
Pr 0.985 0.985 0.662
Zn 0.352 0.352 0.445
Zn 0.486 0.486 0.112
Zn 0.514 0.514 0.888
Zn 0.648 0.648 0.555
Pt 0.276 0.276 0.667
Pt 0.724 0.724 0.333

=====

Which of these has the lowest ΔE_f?
PrY2Pt9